<i>
Density functional theory data (PBE) for a geometry-optimized Zr2Cu3 structure.

Cell and atoms, written as POSCAR:
```
Zr2Cu3
1.0
-3.615 1.911 -3.208
-1.182 -0.757 5.005
4.523 5.936 0.588
Zr Cu
4 6
Cartesian
2.014 6.145 -0.281 Zr
-1.219 0.688 2.265 Zr
-0.021 2.929 0.188 Zr
-0.401 5.238 -2.310 Zr
1.136 4.881 1.956 Cu
-0.694 5.769 0.336 Cu
0.689 2.826 3.164 Cu
-2.085 2.965 -1.576 Cu
-4.579 1.102 1.715 Cu
-2.698 2.519 0.911 Cu
```

SG: No. 43

=====

<ii>
Density functional theory data (PBE) for a geometry-optimized Zr2Cu3 structure.

Cell and atoms, written as POSCAR:
```
Zr2Cu3
1.0
-1.897 -1.175 -2.362
1.907 1.399 -2.227
4.355 -6.540 1.990
Cu Zr
3 2
Cartesian
2.519 -3.595 -2.470 Cu
1.846 -2.721 -0.129 Cu
0.000 0.000 0.000 Cu
3.426 -5.051 -0.239 Zr
0.939 -1.265 -2.360 Zr
```

SG: No. 139

=====

What are the relative energies? In meV per atom: <i> 26; <ii> 0.

=====

<i>
Density functional theory data (PBE) for a geometry-optimized Zr5Cu3 structure.

Cell and atoms, written as POSCAR:
```
Zr5Cu3
1.0
-4.969 -6.454 -0.554
3.971 1.508 6.972
-4.052 2.976 1.664
Zr Cu
10 6
Cartesian
-3.278 1.044 2.790 Zr
-0.059 1.106 2.091 Zr
-2.842 -1.164 7.799 Zr
0.991 -1.146 4.463 Zr
-4.014 -2.312 2.787 Zr
-1.988 -3.800 1.955 Zr
1.765 0.702 7.254 Zr
-1.771 -3.014 5.292 Zr
-4.990 -3.077 5.991 Zr
-1.034 0.342 5.295 Zr
1.372 1.650 4.602 Cu
-1.411 -1.232 2.980 Cu
-3.637 -0.738 5.102 Cu
-3.996 -3.132 0.083 Cu
-1.052 1.161 7.998 Cu
-6.420 -3.620 3.480 Cu
```

SG: No. 193

=====

<ii>
Density functional theory data (PBE) for a geometry-optimized Zr5Cu3 structure.

Cell and atoms, written as POSCAR:
```
Zr5Cu3
1.0
-2.351 -1.617 1.496
2.202 -1.669 1.657
-0.259 10.185 10.604
Zr Cu
5 3
Cartesian
-0.198 7.794 8.114 Zr
-0.235 4.662 8.140 Zr
0.000 0.000 0.000 Zr
-0.061 2.392 2.490 Zr
-0.173 2.238 5.616 Zr
-0.105 -0.461 2.807 Cu
-0.303 7.360 10.950 Cu
-0.129 5.093 5.302 Cu
```

SG: No. 123

=====

What are the relative energies? In meV per atom: <i> 76; <ii> 0.